Below is crystalline NdPaV2O8 at its relaxed geometry, with properties calculated at the PBE with a Hubbard U level.

Cell: 5.208 5.208 6.803 Å, 112.51 112.51 90.00°
Fractional positions:
O 0.707 0.239 0.848
O 0.565 0.667 0.665
O 0.100 0.997 0.665
O 0.761 0.859 0.152
O 0.003 0.435 0.335
O 0.391 0.293 0.152
O 0.333 0.900 0.335
O 0.141 0.609 0.848
V 0.500 0.500 0.000
V 0.250 0.750 0.500
Pa 0.000 0.000 0.000
Nd 0.750 0.250 0.500

Properties
Total magnetic moment   2.0 Bohr magnetons per cell
Total DFT energy (no corrections)   -8.4855 eV/atom